Compound: Pt7W6
Source: Alexandria via LeMat-Bulk
Functional: PBE
Structure: optimized geometry

Unit cell a=9.5616 b=9.5616 c=9.5616 alpha=31.32 beta=31.32 gamma=31.32
Fractional positions:
Pt: 0.0000 0.0000 0.0000
Pt: 0.0869 0.0869 0.5833
Pt: 0.0869 0.5833 0.0869
Pt: 0.4167 0.9131 0.9131
Pt: 0.5833 0.0869 0.0869
Pt: 0.9131 0.4167 0.9131
Pt: 0.9131 0.9131 0.4167
W: 0.1678 0.1678 0.1678
W: 0.3462 0.3462 0.3462
W: 0.4551 0.4551 0.4551
W: 0.5449 0.5449 0.5449
W: 0.6538 0.6538 0.6538
W: 0.8322 0.8322 0.8322

Summary:
DOS(E_F) ... 10.33 states/eV per cell
Calculated total energy ... -9.11 eV per atom
M_tot ... 0.00 μB/cell
Formation energy from the elements ... 121 meV/atom
Crystal system ... trigonal

Compound: Ac4TbCd
Source: Alexandria via LeMat-Bulk
Functional: PBE
Structure: optimized geometry

Unit cell a=3.9609 b=3.9609 c=14.9146 alpha=90.00 beta=90.00 gamma=90.00
Fractional positions:
Ac: 0.0000 0.0000 0.1435
Ac: 0.0000 0.0000 0.8565
Ac: 0.5000 0.5000 0.3320
Ac: 0.5000 0.5000 0.6680
Tb: 0.0000 0.0000 0.5000
Cd: 0.5000 0.5000 0.0000

Summary:
DOS(E_F) ... 8.71 states/eV per cell
Calculated total energy ... -3.73 eV per atom
M_tot ... 0.00 μB/cell
Formation energy from the elements ... -72 meV/atom
Crystal system ... tetragonal

Compound: SrDyRe2O8
Source: Alexandria via LeMat-Bulk
Functional: PBE
Structure: optimized geometry

Unit cell a=5.9446 b=5.9446 c=7.1506 alpha=90.00 beta=90.00 gamma=120.00
Fractional positions:
Sr: 0.0000 0.0000 0.0000
Dy: 0.0000 0.0000 0.5000
Re: 0.3333 0.6667 0.7896
Re: 0.6667 0.3333 0.2104
O: 0.1629 0.3257 0.7107
O: 0.1629 0.8371 0.7107
O: 0.3257 0.1629 0.2893
O: 0.3333 0.6667 0.0396
O: 0.6667 0.3333 0.9604
O: 0.6743 0.8371 0.7107
O: 0.8371 0.1629 0.2893
O: 0.8371 0.6743 0.2893

Summary:
DOS(E_F) ... 7.84 states/eV per cell
Calculated total energy ... -7.97 eV per atom
M_tot ... 3.01 μB/cell
Formation energy from raw total energies ... -2.070 eV/atom
Crystal system ... trigonal

Compound: RbMgIrO6
Source: Alexandria via LeMat-Bulk
Functional: PBE
Structure: optimized geometry

Unit cell a=5.3608 b=5.3608 c=6.2343 alpha=90.06 beta=90.06 gamma=120.03
Fractional positions:
Rb: 0.0000 0.0000 0.0000
Mg: 0.3320 0.6680 0.5000
Ir: 0.6675 0.3325 0.5000
O: 0.4016 0.3733 0.3293
O: 0.4087 0.0319 0.6752
O: 0.6212 0.0303 0.3241
O: 0.6267 0.5984 0.6707
O: 0.9681 0.5913 0.3248
O: 0.9697 0.3788 0.6759

Summary:
DOS(E_F) ... 0.21 states/eV per cell
Calculated total energy ... -5.60 eV per atom
M_tot ... 0.13 μB/cell
Formation energy from raw total energies ... -1.028 eV/atom
Crystal system ... monoclinic

What did the third record say?
Compound: SrDyRe2O8
Source: Alexandria via LeMat-Bulk
Functional: PBE
Structure: optimized geometry

Unit cell a=5.9446 b=5.9446 c=7.1506 alpha=90.00 beta=90.00 gamma=120.00
Fractional positions:
Sr: 0.0000 0.0000 0.0000
Dy: 0.0000 0.0000 0.5000
Re: 0.3333 0.6667 0.7896
Re: 0.6667 0.3333 0.2104
O: 0.1629 0.3257 0.7107
O: 0.1629 0.8371 0.7107
O: 0.3257 0.1629 0.2893
O: 0.3333 0.6667 0.0396
O: 0.6667 0.3333 0.9604
O: 0.6743 0.8371 0.7107
O: 0.8371 0.1629 0.2893
O: 0.8371 0.6743 0.2893

Summary:
DOS(E_F) ... 7.84 states/eV per cell
Calculated total energy ... -7.97 eV per atom
M_tot ... 3.01 μB/cell
Formation energy from raw total energies ... -2.070 eV/atom
Crystal system ... trigonal

Question: Look up the calculated total energy of the first one.
Answer: -9.11 eV per atom

Question: Which value of M_tot does entry 3 give?
Answer: 3.01 μB/cell